# 1
Crystalline YMgPb at its relaxed geometry, computed with PBE.

Properties
- total magnetic moment (μB/f.u.) = 0.0
- E (eV per atom) = -4.128
- energy of formation from the pure elements (eV/atom) = -0.21

a = 6.9207 Å, b = 6.9204 Å, c = 3.5604 Å
α = 75.10°, β = 75.09°, γ = 29.81°
Closest atoms and distances in Å follow each position.
Atoms (fractional coordinates):
Mg  0.9926  0.9926  0.0074  4 Pb 3.18, 4 Y 3.36, 4 Mg 3.56
Pb  0.3419  0.3419  0.6581  4 Mg 3.18, 4 Y 3.39, 4 Pb 3.56
Y  0.6656  0.6656  0.3344  4 Mg 3.36, 4 Pb 3.39, 4 Y 3.56


# 2
Crystalline Y2MgPb at its relaxed geometry, computed with PBE.

Properties
- total magnetic moment (μB/f.u.) = 0.0
- E (eV per atom) = -4.758
- energy of formation from the pure elements (eV/atom) = -0.20

a = 3.5898 Å, b = 6.4401 Å, c = 6.5247 Å
α = 50.87°, β = 90.00°, γ = 90.00°
Closest atoms and distances in Å follow each position.
Atoms (fractional coordinates):
Mg  0.5000  0.5000  0.5000  6 Y 3.26-3.31, 2 Mg 3.59
Pb  0.0000  0.0000  0.5000  6 Y 3.26-3.31, 2 Pb 3.59
Y  0.0000  0.0000  0.0000  2 Pb 3.26, 4 Mg 3.31, 2 Y 3.59
Y  0.5000  0.5000  0.0000  2 Mg 3.26, 4 Pb 3.31, 2 Y 3.59


# 3
Crystalline YMg2Pb5 at its relaxed geometry, computed with PBE.

Properties
- total magnetic moment (μB/f.u.) = 0.0
- E (eV per atom) = -3.647
- energy of formation from the pure elements (eV/atom) = -0.12

a = 5.5732 Å, b = 6.5438 Å, c = 12.4319 Å
α = 90.00°, β = 90.00°, γ = 90.00°
Closest atoms and distances in Å follow each position.
Atoms (fractional coordinates):
Y  0.0000  0.0000  0.5000  8 Pb 3.27-3.40
Y  0.0000  0.5000  0.0000  8 Pb 3.27-3.40
Mg  0.5000  0.3246  0.3892  8 Pb 3.15-3.33
Mg  0.5000  0.6754  0.6108  8 Pb 3.15-3.33
Mg  0.5000  0.1754  0.8892  8 Pb 3.15-3.33
Mg  0.5000  0.8246  0.1108  8 Pb 3.15-3.33
Pb  0.5000  0.3319  0.1286  4 Mg 3.15-3.33, 2 Pb 3.32, 2 Y 3.40
Pb  0.5000  0.6681  0.8714  4 Mg 3.15-3.33, 2 Pb 3.32, 2 Y 3.40
Pb  0.5000  0.8319  0.3714  4 Mg 3.15-3.33, 2 Pb 3.32, 2 Y 3.40
Pb  0.5000  0.1681  0.6286  4 Mg 3.15-3.33, 2 Pb 3.32, 2 Y 3.40
Pb  0.0000  0.7941  0.7418  6 Pb 3.28-3.57, 1 Y 3.29, 2 Mg 3.32
Pb  0.0000  0.2059  0.2582  6 Pb 3.28-3.57, 1 Y 3.29, 2 Mg 3.32
Pb  0.0000  0.2941  0.7582  6 Pb 3.28-3.57, 1 Y 3.29, 2 Mg 3.32
Pb  0.0000  0.7059  0.2418  6 Pb 3.28-3.57, 1 Y 3.29, 2 Mg 3.32
Pb  0.0000  0.5000  0.5000  2 Y 3.27, 4 Mg 3.31, 4 Pb 3.48-3.57
Pb  0.0000  0.0000  0.0000  2 Y 3.27, 4 Mg 3.31, 4 Pb 3.48-3.57


# 4
Crystalline Y2Mg3Pb3 at its relaxed geometry, computed with PBE.

Properties
- total magnetic moment (μB/f.u.) = 0.0
- E (eV per atom) = -3.925
- energy of formation from the pure elements (eV/atom) = -0.32

a = 4.8593 Å, b = 4.7153 Å, c = 9.0991 Å
α = 90.00°, β = 90.00°, γ = 90.00°
Closest atoms and distances in Å follow each position.
Atoms (fractional coordinates):
Y  0.0000  0.0000  0.7473  6 Pb 3.26-3.31, 6 Mg 3.34-3.39
Y  0.0000  0.0000  0.2527  6 Pb 3.26-3.31, 6 Mg 3.34-3.39
Mg  0.5000  0.5000  0.7591  2 Mg 3.22, 6 Pb 3.27-3.39, 4 Y 3.39
Mg  0.5000  0.5000  0.2409  2 Mg 3.22, 6 Pb 3.27-3.39, 4 Y 3.39
Mg  0.5000  0.0000  0.0000  4 Mg 3.22, 4 Y 3.34, 4 Pb 3.39
Pb  0.5000  0.0000  0.5000  4 Y 3.31, 4 Mg 3.33, 4 Pb 3.39
Pb  0.0000  0.5000  0.0000  8 Mg 3.27-3.39, 4 Y 3.29
Pb  0.0000  0.5000  0.5000  4 Y 3.26, 4 Pb 3.39, 4 Mg 3.39


# 5
Crystalline Y2MgPb at its relaxed geometry, computed with PBE.

Properties
- total magnetic moment (μB/f.u.) = 0.0
- E (eV per atom) = -4.898
- energy of formation from the pure elements (eV/atom) = -0.34

a = 4.4783 Å, b = 4.9340 Å, c = 4.9340 Å
α = 90.00°, β = 90.00°, γ = 90.00°
Closest atoms and distances in Å follow each position.
Atoms (fractional coordinates):
Pb  0.5000  0.5000  0.5000  8 Y 3.33, 4 Mg 3.49
Y  0.0000  0.0000  0.5000  4 Pb 3.33, 4 Mg 3.33, 4 Y 3.49
Y  0.0000  0.5000  0.0000  4 Pb 3.33, 4 Mg 3.33, 4 Y 3.49
Mg  0.5000  0.0000  0.0000  8 Y 3.33, 4 Pb 3.49


# 6
Crystalline Y2MgPb at its relaxed geometry, computed with PBE.

Properties
- total magnetic moment (μB/f.u.) = 0.2
- E (eV per atom) = -4.703
- energy of formation from the pure elements (eV/atom) = -0.15

a = 10.4498 Å, b = 10.4498 Å, c = 10.4498 Å
α = 20.17°, β = 20.17°, γ = 20.17°
Closest atoms and distances in Å follow each position.
Atoms (fractional coordinates):
Mg  0.2500  0.2500  0.2500  6 Y 3.33, 6 Mg 3.66
Pb  0.7500  0.7500  0.7500  6 Y 3.31, 6 Pb 3.66
Y  0.0003  0.0003  0.0003  3 Pb 3.31, 3 Mg 3.33, 6 Y 3.66
Y  0.4997  0.4997  0.4997  3 Pb 3.31, 3 Mg 3.33, 6 Y 3.66